## Tb3Ir2Pt (PBE)

Data for an optimized crystal structure of Tb3Ir2Pt.

```
Tb3Ir2Pt
1.0
-1.566 1.380 2.814
2.428 -1.456 2.064
5.755 8.339 -0.888
Ir Tb Pt
2 3 1
Cartesian
5.224 6.907 1.700
1.393 1.357 2.291
0.000 0.000 0.000
1.882 2.726 -0.290
3.874 5.613 -0.597
3.309 4.132 1.996
```

Summary:
Total magnetic moment   0.0 μB/f.u.
Space-group type   No. 123
Electronic total energy   -7.20 eV per atom
D(E_F)   3.74 states/eV per cell
DFT formation energy   -0.923 eV per atom